[1]
The following is a DFT calculation (meta-GGA SCAN) of TlSnRh3 at its PBEsol-relaxed geometry.

Cell: 4.8452 4.8452 4.8452 Å, 90.00 90.00 90.00°
Closest atoms and distances in Å follow each position.
Sites, in units of the cell vectors:
1 Tl 0.0000 0.0000 0.0000  6 Rh 2.42
2 Sn 0.5000 0.5000 0.5000  12 Rh 3.43
3 Rh 0.0000 0.0000 0.5000  2 Tl 2.42
4 Rh 0.0000 0.5000 0.0000  2 Tl 2.42
5 Rh 0.5000 0.0000 0.0000  2 Tl 2.42

## Properties
energy: -40.517 eV/atom
formation energy from the elements: 1402 meV per atom



[2]
The following is a DFT calculation (meta-GGA SCAN) of TlSn2Rh2 at its PBEsol-relaxed geometry.

Cell: 6.5140 6.5140 6.5140 Å, 142.13 142.13 54.64°
Closest atoms and distances in Å follow each position.
Sites, in units of the cell vectors:
1 Tl 0.0000 0.0000 0.0000  8 Rh 3.26, 8 Sn 3.58
2 Sn 0.2500 0.7500 0.5000  4 Rh 2.64
3 Sn 0.7500 0.2500 0.5000  4 Rh 2.64
4 Rh 0.3866 0.3866 0.0000  1 Rh 2.62, 4 Sn 2.64
5 Rh 0.6134 0.6134 0.0000  1 Rh 2.62, 4 Sn 2.64

## Properties
energy: -42.401 eV/atom
formation energy from the elements: -53 meV per atom